1.
Compound: CeDy3Ga2
Source: Alexandria via LeMat-Bulk
Functional: PBE
Structure: optimized geometry

Summary:
The calculation puts the formation energy at -0.308 eV per atom.

a = 5.203 Å, b = 16.196 Å, c = 3.531 Å
α = 90.00°, β = 90.00°, γ = 90.00°
Space group Cmmm (No. 65)
One atom of each set of equivalent atoms:
Ce: 0.000 0.000 0.000
Dy: 0.000 0.180 0.500
Dy: 0.000 0.500 0.500
Ga: 0.000 0.347 0.000

***

2.
Compound: MnInSi
Source: Alexandria via LeMat-Bulk
Functional: PBE
Structure: optimized geometry

Summary:
The value obtained for the uncorrected formation energy is 0.220 eV/atom.

a = 3.9697 Å, b = 3.9697 Å, c = 3.5459 Å
α = 90.00°, β = 90.00°, γ = 120.00°
Space group P-6m2 (No. 187)
One atom of each set of equivalent atoms:
Mn: 0.0000 0.0000 0.0000
In: 0.3333 0.6667 0.5000
Si: 0.6667 0.3333 0.0000

***

3.
Compound: LaPrY2As4
Source: Alexandria via LeMat-Bulk
Functional: PBE
Structure: optimized geometry

Summary:
The calculation puts the formation energy at -1.540 eV per atom.

a = 7.325 Å, b = 4.238 Å, c = 7.336 Å
α = 90.00°, β = 109.49°, γ = 90.00°
Space group P2/m (No. 10)
One atom of each set of equivalent atoms:
La: 0.000 0.000 0.000
Pr: 0.000 0.500 0.500
Y: 0.500 0.000 0.500
Y: 0.500 0.500 0.000
As: 0.261 0.000 0.753
As: 0.262 0.500 0.255